CaInMoF6 | Alexandria | PBE with a Hubbard U | optimized geometry; space-group type = P-31c; size of the total moment = 2.999 μB/f.u.; electronic total energy = -5.377 eV/atom
1.0
6.0133 0.0000 0.0000
-3.0066 5.2077 0.0000
0.0000 0.0000 11.0222
Ca In Mo F
2 2 2 12
Cartesian
0.0000 3.4718 2.7556
3.0066 1.7359 8.2667
0.0000 0.0000 0.0000
0.0000 0.0000 5.5111
3.0066 1.7359 2.7556
0.0000 3.4718 8.2667
1.9954 3.2219 1.6439
4.7992 1.8687 1.6439
-0.7813 5.0906 7.1550
-1.7925 3.3390 9.3783
1.2141 1.8687 3.8672
4.0179 3.2219 3.8672
0.7813 5.0906 9.3783
3.7879 0.1171 3.8672
-1.0113 1.9858 7.1550
2.2254 0.1171 1.6439
1.7925 3.3390 7.1550
1.0113 1.9858 9.3783